[1]
Here is an optimized crystal structure of LaAl2F from Alexandria via LeMat-Bulk. Energies are from PBE.

For the uncorrected formation energy, the calculation gives -0.33 eV/atom. The energy above the lowest structure with this stoichiometry comes out at 328 meV per atom.

It has space group Fm-3m (No. 225), with a = 7.097 Å, b = 7.097 Å, c = 7.097 Å, α = 90.00°, β = 90.00° and γ = 90.00°. Symmetry generates all atoms from La at (0.000, 0.000, 0.000), Al at (0.250, 0.250, 0.250) and F at (0.000, 0.000, 0.500).



[2]
Here is an optimized crystal structure of SiIrF from Alexandria via LeMat-Bulk. Energies are from PBE.

For the uncorrected formation energy, the calculation gives -1.27 eV/atom.

It has space group P2_1/m (No. 11), with a = 5.448 Å, b = 2.853 Å, c = 6.942 Å, α = 90.00°, β = 103.96° and γ = 90.00°. Symmetry generates all atoms from Si at (0.062, 0.250, 0.185), Ir at (0.287, 0.250, 0.942) and F at (0.226, 0.250, 0.412).



Here are the calculated spin magnetization numbers, same order: 0.0; 0.0 (μB/cell).
Here are the calculated raw total energy numbers, same order: -62.4; -39.9 (eV per cell).